[1]
Crystalline Pa2Ge5Os3 at its relaxed geometry, computed with PBE.

Geometry as POSCAR:
```
Pa2Ge5Os3
1.0
-2.132 0.549 -5.527
-7.003 -4.554 -0.953
-6.273 5.594 -0.227
Pa Ge Os
4 10 6
direct
0.139 0.590 0.132 Pa
0.639 0.132 0.590 Pa
0.861 0.410 0.868 Pa
0.361 0.868 0.410 Pa
0.407 0.255 0.931 Ge
0.907 0.931 0.255 Ge
0.593 0.745 0.069 Ge
0.093 0.069 0.745 Ge
0.467 0.783 0.783 Ge
0.533 0.217 0.217 Ge
0.750 0.500 0.500 Ge
0.250 0.500 0.500 Ge
0.033 0.217 0.217 Ge
0.967 0.783 0.783 Ge
0.351 0.535 0.762 Os
0.851 0.762 0.535 Os
0.649 0.465 0.238 Os
0.149 0.238 0.465 Os
0.250 0.000 0.000 Os
0.750 0.000 0.000 Os
```

Computed properties:
ΔE_f ... -0.360 eV/atom
D(E_F) ... 0.641 states/eV per atom
Crystal system ... orthorhombic
Energy above the lowest structure with this stoichiometry ... 0.0000 eV/atom

[2]
Crystalline Pa4Ge5Os at its relaxed geometry, computed with PBE.

Geometry as POSCAR:
```
Pa4Ge5Os
1.0
-2.795 -2.361 2.026
3.967 -8.114 -3.983
6.593 -0.789 8.174
Pa Ge Os
8 10 2
direct
0.750 0.000 0.696 Pa
0.750 0.793 0.000 Pa
0.750 0.207 0.000 Pa
0.750 0.000 0.304 Pa
0.250 0.500 0.196 Pa
0.250 0.707 0.500 Pa
0.250 0.293 0.500 Pa
0.250 0.500 0.804 Pa
0.250 0.823 0.805 Ge
0.250 0.177 0.805 Ge
0.750 0.500 0.000 Ge
0.250 0.823 0.195 Ge
0.250 0.177 0.195 Ge
0.750 0.677 0.305 Ge
0.750 0.323 0.305 Ge
0.250 0.000 0.500 Ge
0.750 0.323 0.695 Ge
0.750 0.677 0.695 Ge
0.250 0.000 0.000 Os
0.750 0.500 0.500 Os
```

Computed properties:
ΔE_f ... -0.384 eV/atom
D(E_F) ... 1.042 states/eV per atom
Crystal system ... orthorhombic

[3]
Crystalline PaGeOs at its relaxed geometry, computed with PBE.

Geometry as POSCAR:
```
PaGeOs
1.0
-0.022 -2.218 -2.483
-0.202 -3.320 2.968
-3.756 1.808 -1.581
Ge Pa Os
1 1 1
direct
0.500 0.667 0.333 Ge
0.000 0.000 0.000 Pa
0.500 0.333 0.667 Os
```

Computed properties:
ΔE_f ... -0.478 eV/atom
D(E_F) ... 0.832 states/eV per atom
Crystal system ... hexagonal

[4]
Crystalline Pa3Ge3Os at its relaxed geometry, computed with PBE.

Geometry as POSCAR:
```
Pa3Ge3Os
1.0
4.129 0.000 0.622
2.040 5.280 0.473
0.029 -0.044 13.820
Pa Ge Os
6 6 2
direct
0.529 0.323 0.618 Pa
0.471 0.677 0.382 Pa
0.261 0.240 0.237 Pa
0.739 0.760 0.763 Pa
0.400 0.274 0.925 Pa
0.600 0.726 0.075 Pa
0.861 0.743 0.534 Ge
0.139 0.257 0.466 Ge
0.126 0.824 0.923 Ge
0.874 0.176 0.077 Ge
0.986 0.797 0.231 Ge
0.014 0.203 0.769 Ge
0.758 0.109 0.375 Os
0.242 0.891 0.625 Os
```

Computed properties:
ΔE_f ... -0.471 eV/atom
D(E_F) ... 1.200 states/eV per atom
Crystal system ... monoclinic

[5]
Crystalline Pa2Ge3Os at its relaxed geometry, computed with PBE.

Geometry as POSCAR:
```
Pa2Ge3Os
1.0
-2.961 -0.456 -4.961
5.216 -0.175 -2.520
-1.067 -6.937 4.371
Pa Ge Os
4 6 2
direct
0.250 0.750 0.500 Pa
0.737 0.737 0.000 Pa
0.750 0.250 0.500 Pa
0.263 0.263 0.000 Pa
0.672 0.160 0.832 Ge
0.840 0.328 0.168 Ge
0.328 0.840 0.168 Ge
0.160 0.672 0.832 Ge
0.830 0.830 0.660 Ge
0.170 0.170 0.340 Ge
0.339 0.339 0.678 Os
0.661 0.661 0.322 Os
```

Computed properties:
ΔE_f ... -0.411 eV/atom
D(E_F) ... 1.058 states/eV per atom
Crystal system ... orthorhombic
Energy above the lowest structure with this stoichiometry ... 0.0000 eV/atom

[6]
Crystalline PmPaGeOs at its relaxed geometry, computed with PBE.

Geometry as POSCAR:
```
PmPaGeOs
1.0
4.999 0.000 0.000
2.500 4.330 0.000
2.500 1.443 4.082
Ge Pa Os Pm
1 1 1 1
direct
0.250 0.250 0.250 Ge
0.000 0.000 0.000 Pa
0.750 0.750 0.750 Os
0.500 0.500 0.500 Pm
```

Computed properties:
ΔE_f ... -0.127 eV/atom
D(E_F) ... 1.235 states/eV per atom
Crystal system ... cubic

[7]
Crystalline PaReGeOs at its relaxed geometry, computed with PBE.

Geometry as POSCAR:
```
PaReGeOs
1.0
-3.024 -0.569 -3.507
-2.329 -4.018 -0.443
-4.581 -0.149 0.871
Re Ge Pa Os
1 1 1 1
direct
0.750 0.750 0.750 Re
0.000 0.000 0.000 Ge
0.500 0.500 0.500 Pa
0.250 0.250 0.250 Os
```

Computed properties:
ΔE_f ... 0.114 eV/atom
D(E_F) ... 0.655 states/eV per atom
Crystal system ... cubic

[8]
Crystalline PaGeOsRu at its relaxed geometry, computed with PBE.

Geometry as POSCAR:
```
PaGeOsRu
1.0
4.651 0.000 0.000
2.325 4.028 0.000
2.325 1.343 3.797
Ru Ge Pa Os
1 1 1 1
direct
0.250 0.250 0.250 Ru
0.500 0.500 0.500 Ge
0.000 0.000 0.000 Pa
0.750 0.750 0.750 Os
```

Computed properties:
ΔE_f ... -0.165 eV/atom
D(E_F) ... 1.397 states/eV per atom
Crystal system ... cubic

[9]
Crystalline PaGe2OsRu at its relaxed geometry, computed with PBE.

Geometry as POSCAR:
```
PaGe2OsRu
1.0
4.260 0.000 0.000
0.000 4.260 0.000
-2.130 -2.130 4.912
Pa Ge Os Ru
1 2 1 1
direct
0.000 0.000 0.000 Pa
0.626 0.626 0.252 Ge
0.374 0.374 0.748 Ge
0.750 0.250 0.500 Os
0.250 0.750 0.500 Ru
```

Computed properties:
ΔE_f ... -0.443 eV/atom
D(E_F) ... 0.647 states/eV per atom
Crystal system ... tetragonal

[10]
Crystalline Pa4GeOsS2 at its relaxed geometry, computed with PBE.

Geometry as POSCAR:
```
Pa4GeOsS2
1.0
3.914 0.000 0.000
0.000 6.920 -0.184
0.000 2.394 6.622
Pa Ge Os S
4 1 1 2
direct
0.000 0.746 0.763 Pa
0.000 0.254 0.237 Pa
0.500 0.757 0.236 Pa
0.500 0.243 0.764 Pa
0.000 0.500 0.500 Ge
0.500 0.500 0.000 Os
0.000 0.000 0.000 S
0.500 0.000 0.500 S
```

Computed properties:
D(E_F) ... 1.495 states/eV per atom
Crystal system ... monoclinic
Formation energy from raw total energies ... -728 kJ/mol of formula units

[11]
Crystalline Pa4GeOsSe2 at its relaxed geometry, computed with PBE.

Geometry as POSCAR:
```
Pa4GeOsSe2
1.0
4.002 0.000 0.000
0.000 7.120 -0.200
0.000 2.454 6.741
Pa Ge Os Se
4 1 1 2
direct
0.000 0.728 0.769 Pa
0.000 0.272 0.231 Pa
0.500 0.739 0.241 Pa
0.500 0.261 0.759 Pa
0.000 0.500 0.500 Ge
0.500 0.500 0.000 Os
0.000 0.000 0.000 Se
0.500 0.000 0.500 Se
```

Computed properties:
D(E_F) ... 1.538 states/eV per atom
Crystal system ... monoclinic
Formation energy from raw total energies ... -626 kJ/mol of formula units

[12]
Crystalline Pa2Si3GeOs4 at its relaxed geometry, computed with PBE.

Geometry as POSCAR:
```
Pa2Si3GeOs4
1.0
4.192 0.000 0.000
0.000 4.192 0.000
0.000 0.000 9.773
Pa Si Ge Os
2 3 1 4
direct
0.500 0.000 0.245 Pa
0.000 0.500 0.755 Pa
0.000 0.000 0.500 Si
0.500 0.000 0.875 Si
0.000 0.500 0.125 Si
0.500 0.500 0.500 Ge
0.500 0.500 0.000 Os
0.000 0.000 0.000 Os
0.500 0.000 0.635 Os
0.000 0.500 0.365 Os
```

Computed properties:
D(E_F) ... 0.986 states/eV per atom
Crystal system ... tetragonal
Formation energy from raw total energies ... -525 kJ/mol of formula units

Please write out number 3 again, unchanged.
Crystalline PaGeOs at its relaxed geometry, computed with PBE.

Geometry as POSCAR:
```
PaGeOs
1.0
-0.022 -2.218 -2.483
-0.202 -3.320 2.968
-3.756 1.808 -1.581
Ge Pa Os
1 1 1
direct
0.500 0.667 0.333 Ge
0.000 0.000 0.000 Pa
0.500 0.333 0.667 Os
```

Computed properties:
ΔE_f ... -0.478 eV/atom
D(E_F) ... 0.832 states/eV per atom
Crystal system ... hexagonal